The following is a DFT calculation (GGA-PBE) of a relaxed structure of Th2TaH.

- VASP energy: -28.22 eV for the cell shown
- SG: R-3m

abc: 3.274 3.274 9.410
angles: 79.98 79.98 60.00
Sites, in units of the cell vectors:
H  0.500  0.500  0.500
Ta  0.000  0.000  0.000
Th  0.106  0.106  0.681
Th  0.894  0.894  0.319

The following is a DFT calculation (GGA-PBE) of a relaxed structure of TaTi3H.

- SG: Pm-3m
- Distance to the lowest polymorph of the same formula: 1.7594 eV per atom

abc: 4.848 4.848 4.848
angles: 90.00 90.00 90.00
Sites, in units of the cell vectors:
Ti  0.500  0.000  0.000
Ti  0.000  0.000  0.500
Ti  0.000  0.500  0.000
H  0.500  0.500  0.500
Ta  0.000  0.000  0.000

The following is a DFT calculation (GGA-PBE) of a relaxed structure of TaTi2H2.

- SG: I4/mmm
- Distance to the lowest polymorph of the same formula: 0.0000 eV per atom

abc: 3.270 3.270 5.754
angles: 73.49 73.49 90.00
Sites, in units of the cell vectors:
H  0.750  0.250  0.500
H  0.250  0.750  0.500
Ti  0.655  0.655  0.689
Ti  0.345  0.345  0.311
Ta  0.000  0.000  0.000

The following is a DFT calculation (GGA-PBE) of a relaxed structure of Ta2TiH8.

- VASP energy: -58.88 eV for the cell shown
- SG: Immm

abc: 3.244 4.453 5.595
angles: 113.45 106.85 90.00
Sites, in units of the cell vectors:
H  0.176  0.176  0.351
H  0.347  0.109  0.695
H  0.653  0.891  0.305
H  0.000  0.259  0.000
H  0.653  0.414  0.305
H  0.824  0.824  0.649
H  0.000  0.741  0.000
H  0.347  0.586  0.695
Ta  0.829  0.329  0.659
Ta  0.171  0.671  0.341
Ti  0.500  0.000  0.000

The following is a DFT calculation (GGA-PBE) of a relaxed structure of TaTi2H.

- SG: I-42d
- Distance to the lowest polymorph of the same formula: 0.0180 eV per atom

abc: 5.526 5.526 5.436
angles: 59.45 59.45 90.00
Sites, in units of the cell vectors:
Ta  0.750  0.250  0.500
Ta  0.000  0.000  0.000
Ti  0.447  0.625  0.250
Ti  0.875  0.553  0.750
Ti  0.303  0.125  0.250
Ti  0.375  0.697  0.750
H  0.250  0.750  0.500
H  0.500  0.500  0.000

The following is a DFT calculation (GGA-PBE) of a relaxed structure of Ta2Ti2H3.

- VASP energy: -51.04 eV for the cell shown
- SG: C2/m

abc: 3.255 4.856 5.532
angles: 112.51 107.11 90.00
Sites, in units of the cell vectors:
Ti  0.616  0.880  0.231
Ti  0.384  0.120  0.769
H  0.198  0.836  0.395
H  0.802  0.164  0.605
H  0.000  0.000  0.000
Ta  0.131  0.405  0.263
Ta  0.869  0.595  0.737